No. 1
# TmFe4Si

An optimized crystal structure of TmFe4Si (PBE, Alexandria).

Cell lengths 4.003, 5.737, 7.432 Å; angles 90.00, 105.62, 90.00 degrees
Site moments in Bohr magnetons follow the coordinates.
Sites, in units of the cell vectors:
Fe  0.500  0.500  0.000  2.55
Fe  0.327  0.055  0.654  1.13
Fe  0.500  0.000  0.000  2.55
Si  0.219  0.750  0.438  -0.08
Fe  0.939  0.250  0.879  2.02
Tm  0.129  0.250  0.257  -0.33
Fe  0.061  0.750  0.121  2.02
Fe  0.673  0.555  0.346  1.13
Tm  0.871  0.750  0.743  -0.33
Fe  0.327  0.445  0.654  1.13
Si  0.781  0.250  0.562  -0.08
Fe  0.673  0.945  0.346  1.13

Summary:
As for the volume: 13.7 Å³/atom. The density is 8493 kg/m3. The calculation puts the spin magnetization at 1.06 μB/atom. The total energy comes out at -7.418 eV/atom.

No. 2
# YSiPt

An optimized crystal structure of YSiPt (PBE, Alexandria).

Cell lengths 4.512, 4.512, 4.512 Å; angles 60.00, 60.00, 60.00 degrees
Sites, in units of the cell vectors:
Si  0.000  0.000  0.000
Pt  0.750  0.750  0.750
Y  0.500  0.500  0.500

Summary:
As for the volume: 21.7 Å³/atom. The density is 7977 kg/m3. The calculation puts the spin magnetization at 0.00 μB/atom. The total energy comes out at -6.830 eV/atom.

No. 3
# Nd2Al3Ni4

An optimized crystal structure of Nd2Al3Ni4 (PBE, Alexandria).

Cell lengths 5.597, 6.944, 8.261 Å; angles 90.00, 109.80, 90.00 degrees
Sites, in units of the cell vectors:
Al  0.483  0.250  0.467
Ni  0.672  0.508  0.343
Ni  0.322  0.250  0.145
Al  0.500  0.500  0.000
Ni  0.328  0.492  0.657
Al  0.017  0.750  0.533
Nd  0.605  0.916  0.210
Al  0.517  0.750  0.533
Nd  0.105  0.584  0.210
Nd  0.395  0.084  0.790
Al  0.983  0.250  0.467
Nd  0.895  0.416  0.790
Ni  0.172  0.992  0.343
Ni  0.178  0.750  0.855
Al  0.000  0.000  0.000
Ni  0.678  0.750  0.855
Ni  0.828  0.008  0.657
Ni  0.822  0.250  0.145

Summary:
As for the volume: 16.8 Å³/atom. The density is 6643 kg/m3. The calculation puts the spin magnetization at 0.00 μB/atom. As for the formation enthalpy at 0 K: -489.1 meV/atom. The total energy comes out at -5.366 eV/atom.

No. 4
# Li2In5GaSn

An optimized crystal structure of Li2In5GaSn (PBE, Alexandria).

Cell lengths 8.784, 6.980, 6.980 Å; angles 90.00, 90.00, 90.00 degrees
Sites, in units of the cell vectors:
In  0.500  0.500  0.500
Sn  0.000  0.000  0.000
In  0.247  0.311  0.189
Li  0.500  0.132  0.368
In  0.247  0.689  0.811
In  0.753  0.689  0.811
Ga  0.000  0.500  0.000
Li  0.500  0.632  0.132
Sn  0.000  0.500  0.500
Li  0.500  0.868  0.632
In  0.247  0.189  0.689
In  0.500  0.000  0.000
In  0.753  0.811  0.311
In  0.247  0.811  0.311
In  0.753  0.311  0.189
Ga  0.000  0.000  0.500
Li  0.500  0.368  0.868
In  0.753  0.189  0.689

Summary:
As for the volume: 23.8 Å³/atom. The density is 6025 kg/m3. The calculation puts the spin magnetization at 0.00 μB/atom. As for the formation enthalpy at 0 K: -20.9 meV/atom. The total energy comes out at -2.749 eV/atom.

No. 5
# PmDyP2

An optimized crystal structure of PmDyP2 (PBE, Alexandria).

Cell lengths 4.032, 4.032, 7.304 Å; angles 73.98, 73.98, 60.00 degrees
Sites, in units of the cell vectors:
Pm  0.669  0.669  0.992
Dy  0.498  0.498  0.507
P  0.085  0.085  0.746
P  0.248  0.248  0.255

Summary:
As for the volume: 24.4 Å³/atom. The value obtained for the energy above the lowest structure with this stoichiometry is 0.178 eV/atom. The density is 6295 kg/m3. The calculation puts the spin magnetization at 0.00 μB/atom. As for the formation enthalpy at 0 K: -1406.7 meV/atom. The total energy comes out at -6.450 eV/atom.

No. 6
# Eu2BiAu

An optimized crystal structure of Eu2BiAu (PBE, Alexandria).

Cell lengths 3.996, 5.459, 5.459 Å; angles 90.00, 90.00, 90.00 degrees
Site moments in Bohr magnetons follow the coordinates.
Sites, in units of the cell vectors:
Eu  0.000  0.000  0.500  6.85
Eu  0.000  0.500  0.000  6.85
Bi  0.500  0.500  0.500  -0.11
Au  0.500  0.000  0.000  -0.01

Summary:
As for the volume: 29.8 Å³/atom. The density is 9898 kg/m3. The calculation puts the spin magnetization at 3.51 μB/atom. As for the formation enthalpy at 0 K: -797.0 meV/atom. The total energy comes out at -7.724 eV/atom.